No. 1
The following is a DFT calculation (PBE) of a relaxed structure of Ga2PdAu8.

Unit cell a=7.669 b=12.306 c=4.666 alpha=90.00 beta=114.27 gamma=90.00
Space group C2/m (No. 12)
Asymmetric unit:
1 Ga 0.000 0.185 0.000
2 Pd 0.000 0.500 0.500
3 Au 0.000 0.276 0.500
4 Au 0.114 0.000 0.326
5 Au 0.202 0.381 0.109

Results
As for the size of the total moment: 0.00 μB/f.u. Its density of states at the Fermi level is 4.11 states/eV/f.u. As for the final energy: -3.455 eV/atom. As for the energy of formation: -49 meV/atom.

No. 2
The following is a DFT calculation (PBE) of a relaxed structure of TlGe2As2.

Unit cell a=8.693 b=10.776 c=6.806 alpha=90.00 beta=124.06 gamma=90.00
Space group C2/c (No. 15)
Asymmetric unit:
1 Tl 0.000 0.124 0.250
2 Ge 0.174 0.401 0.037
3 As 0.000 0.220 0.750
4 As 0.000 0.408 0.250

Results
As for the size of the total moment: 0.00 μB/f.u. Its density of states at the Fermi level is 1.51 states/eV/f.u. As for the final energy: -4.027 eV/atom. As for the energy of formation: 153 meV/atom.

No. 3
The following is a DFT calculation (PBE) of a relaxed structure of Ca2YP.

Unit cell a=4.0166 b=4.0166 c=29.5150 alpha=90.00 beta=90.00 gamma=120.00
Space group R-3m (No. 166, hexagonal axes)
Asymmetric unit:
1 Ca 0.0000 0.0000 0.2183
2 Y 0.0000 0.0000 0.0000
3 P 0.0000 0.0000 0.5000

Results
As for the size of the total moment: 0.71 μB/f.u. Its density of states at the Fermi level is 4.19 states/eV/f.u. As for the final energy: -4.376 eV/atom. As for the energy of formation: -407 meV/atom.

No. 4
The following is a DFT calculation (PBE) of a relaxed structure of Sc2GaPt3.

Unit cell a=4.217 b=5.185 c=10.430 alpha=90.00 beta=90.00 gamma=90.00
Space group Immm (No. 71)
Asymmetric unit:
1 Sc 0.000 0.000 0.193
2 Ga 0.000 0.000 0.500
3 Pt 0.000 0.500 0.136
4 Pt 0.000 0.500 0.500

Results
As for the size of the total moment: 0.00 μB/f.u. Its density of states at the Fermi level is 3.12 states/eV/f.u. As for the final energy: -6.470 eV/atom. As for the energy of formation: -835 meV/atom.

No. 5
The following is a DFT calculation (PBE) of a relaxed structure of SrMnGe3.

Unit cell a=5.469 b=5.469 c=5.469 alpha=90.00 beta=90.00 gamma=90.00
Space group Pm-3m (No. 221)
Asymmetric unit:
1 Sr 0.000 0.000 0.000
2 Mn 0.500 0.500 0.500
3 Ge 0.000 0.000 0.500

Results
As for the size of the total moment: 0.89 μB/f.u. Its density of states at the Fermi level is 5.27 states/eV/f.u. As for the final energy: -2.934 eV/atom. As for the energy of formation: 2007 meV/atom.

No. 6
The following is a DFT calculation (PBE) of a relaxed structure of LaPr8Sm4.

Unit cell a=11.9723 b=11.9723 c=11.9077 alpha=90.00 beta=90.00 gamma=120.00
Space group R-3m (No. 166, hexagonal axes)
Asymmetric unit:
1 La 0.0000 0.0000 0.0000
2 Pr 0.0000 0.0000 0.2585
3 Pr 0.0023 0.5012 0.1672
4 Sm 0.0000 0.0000 0.5000
5 Sm 0.0000 0.5000 0.5000

Results
As for the size of the total moment: 0.00 μB/f.u. Its density of states at the Fermi level is 25.87 states/eV/f.u. As for the final energy: -4.383 eV/atom. As for the energy of formation: 389 meV/atom.

No. 7
The following is a DFT calculation (PBE) of a relaxed structure of Rb2AsAuI6.

Unit cell a=11.712 b=11.712 c=11.712 alpha=90.00 beta=90.00 gamma=90.00
Space group Fm-3m (No. 225)
Asymmetric unit:
1 Rb 0.250 0.250 0.250
2 As 0.000 0.000 0.000
3 Au 0.000 0.000 0.500
4 I 0.000 0.000 0.248

Results
As for the size of the total moment: 0.00 μB/f.u. Its density of states at the Fermi level is 2.88 states/eV/f.u. As for the final energy: -2.556 eV/atom.

No. 8
The following is a DFT calculation (PBE) of a relaxed structure of Dy2Er3In6.

Unit cell a=5.770 b=5.770 c=22.391 alpha=90.00 beta=90.00 gamma=90.00
Space group I4/mmm (No. 139)
Asymmetric unit:
1 Dy 0.000 0.000 0.079
2 Er 0.000 0.000 0.356
3 Er 0.000 0.000 0.500
4 In 0.000 0.000 0.218
5 In 0.000 0.500 0.068

Results
As for the size of the total moment: 0.00 μB/f.u. Its density of states at the Fermi level is 13.54 states/eV/f.u. As for the final energy: -3.452 eV/atom. As for the energy of formation: 123 meV/atom.

No. 9
The following is a DFT calculation (PBE) of a relaxed structure of CsBIO2.

Unit cell a=4.599 b=4.599 c=4.616 alpha=90.00 beta=90.00 gamma=90.00
Space group P4/mmm (No. 123)
Asymmetric unit:
1 Cs 0.000 0.000 0.000
2 B 0.500 0.500 0.500
3 I 0.500 0.500 0.000
4 O 0.000 0.500 0.500

Results
As for the size of the total moment: 1.38 μB/f.u. Its density of states at the Fermi level is 4.39 states/eV/f.u. As for the final energy: -3.218 eV/atom.

No. 10
The following is a DFT calculation (PBE) of a relaxed structure of AcZnSbPd.

Unit cell a=7.263 b=7.263 c=7.263 alpha=90.00 beta=90.00 gamma=90.00
Space group F-43m (No. 216)
Asymmetric unit:
1 Ac 0.000 0.000 0.000
2 Zn 0.250 0.250 0.250
3 Sb 0.000 0.000 0.500
4 Pd 0.250 0.250 0.750

Results
As for the size of the total moment: 0.00 μB/f.u. Its density of states at the Fermi level is 1.72 states/eV/f.u. As for the final energy: -4.233 eV/atom.

No. 11
The following is a DFT calculation (PBE) of a relaxed structure of CsPmAg2Cl8.

Unit cell a=6.866 b=6.866 c=15.430 alpha=90.00 beta=90.00 gamma=90.00
Space group I-4 (No. 82)
Asymmetric unit:
1 Cs 0.000 0.000 0.000
2 Pm 0.000 0.500 0.750
3 Ag 0.000 0.000 0.500
4 Ag 0.000 0.500 0.250
5 Cl 0.111 0.283 0.596
6 Cl 0.169 0.791 0.195

Results
As for the size of the total moment: 0.00 μB/f.u. Its density of states at the Fermi level is 13.76 states/eV/f.u. As for the final energy: -3.345 eV/atom.

No. 12
The following is a DFT calculation (PBE) of a relaxed structure of AcPr2Au4.

Unit cell a=7.268 b=10.536 c=5.395 alpha=90.00 beta=90.00 gamma=90.00
Space group Cmmm (No. 65)
Asymmetric unit:
1 Ac 0.000 0.000 0.000
2 Pr 0.000 0.286 0.500
3 Au 0.210 0.000 0.500
4 Au 0.250 0.250 0.000

Results
As for the size of the total moment: 0.00 μB/f.u. Its density of states at the Fermi level is 6.41 states/eV/f.u. As for the final energy: -4.469 eV/atom. As for the energy of formation: -643 meV/atom.